## AgAsIr2 (PBE)

Data for a relaxed AgAsIr2 crystal.

```
AgAsIr2
1.0
2.8222 0.0000 0.0000
0.0000 3.7882 0.0000
0.0000 0.0000 6.1782
Ag As Ir
1 1 2
Cartesian
0.0000 0.0000 0.0000 Ag
1.4111 1.8941 1.9706 As
0.0000 0.0000 3.1580 Ir
1.4111 1.8941 4.5538 Ir
```

Calculated values
Energy of formation from the pure elements ... 309.3 meV per atom
Space group ... No. 25